A relaxed Rb3YU3Se8 crystal, computed with GGA-PBE.

Cell and atoms, written as POSCAR:
```
Rb3YU3Se8
1.0
4.204 2.427 8.168
-4.204 2.427 8.168
0.000 -4.855 8.168
Rb Y U Se
3 1 3 8
direct
0.000 0.500 0.500 Rb
0.500 0.000 0.500 Rb
0.500 0.500 0.000 Rb
0.500 0.500 0.500 Y
0.000 0.000 0.500 U
0.000 0.500 0.000 U
0.500 0.000 0.000 U
0.230 0.732 0.732 Se
0.232 0.232 0.232 Se
0.268 0.268 0.770 Se
0.268 0.770 0.268 Se
0.732 0.230 0.732 Se
0.732 0.732 0.230 Se
0.768 0.768 0.768 Se
0.770 0.268 0.268 Se
```

## Properties
- Uncorrected formation energy: -20.5 eV/f.u.
- SG: No. 166
- Calculated total energy: -91.56 eV for the cell shown
- Fermi-level density of states: 16.88 states/eV/cell



A relaxed Rb2UZnSe5 crystal, computed with GGA-PBE.

Cell and atoms, written as POSCAR:
```
Rb2UZnSe5
1.0
2.076 -10.200 0.000
2.076 10.200 0.000
0.000 0.000 14.500
Rb U Zn Se
4 2 2 10
direct
0.118 0.882 0.500 Rb
0.124 0.876 0.135 Rb
0.876 0.124 0.635 Rb
0.882 0.118 0.000 Rb
0.203 0.797 0.833 U
0.797 0.203 0.333 U
0.427 0.573 0.245 Zn
0.573 0.427 0.745 Zn
0.070 0.930 0.847 Se
0.294 0.706 0.458 Se
0.303 0.697 0.203 Se
0.329 0.671 0.820 Se
0.491 0.509 0.110 Se
0.509 0.491 0.610 Se
0.671 0.329 0.320 Se
0.697 0.303 0.703 Se
0.706 0.294 0.958 Se
0.930 0.070 0.347 Se
```

## Properties
- Uncorrected formation energy: -8.8 eV/f.u.
- SG: No. 36
- Calculated total energy: -81.53 eV for the cell shown
- Fermi-level density of states: 6.20 states/eV/cell



A relaxed Rb3U3ZnSe8 crystal, computed with GGA-PBE.

Cell and atoms, written as POSCAR:
```
Rb3U3ZnSe8
1.0
4.154 2.398 8.161
-4.154 2.398 8.161
0.000 -4.797 8.161
Rb U Zn Se
3 3 1 8
direct
0.000 0.500 0.500 Rb
0.500 0.000 0.500 Rb
0.500 0.500 0.000 Rb
0.000 0.000 0.500 U
0.000 0.500 0.000 U
0.500 0.000 0.000 U
0.500 0.500 0.500 Zn
0.233 0.233 0.233 Se
0.235 0.726 0.726 Se
0.274 0.274 0.765 Se
0.274 0.765 0.274 Se
0.726 0.235 0.726 Se
0.726 0.726 0.235 Se
0.765 0.274 0.274 Se
0.767 0.767 0.767 Se
```

## Properties
- Uncorrected formation energy: -16.6 eV/f.u.
- SG: No. 166
- Calculated total energy: -82.53 eV for the cell shown
- Fermi-level density of states: 14.36 states/eV/cell